Record 1
Material: BaLa2Tl
Method: DFT, PBE
State: optimized geometry

```
BaLa2Tl
1.0
6.094 -1.912 0.000
6.094 1.912 0.000
-1.204 0.000 6.361
Ba La Tl
1 2 1
Direct
0.000 0.000 0.000
0.225 0.225 0.682
0.462 0.462 0.471
0.738 0.738 0.229
```

Values from the calculation:
magnetization: 0.00 μB/f.u.
symmetry: Cm
final energy: -3.585 eV per atom
DOS(E_F): 1.22 states/eV/atom
distance to the lowest polymorph of the same formula: 98 meV/atom

Record 2
Material: Pm4ScCd
Method: DFT, PBE
State: optimized geometry

```
Pm4ScCd
1.0
3.627 0.000 0.000
0.000 3.627 0.000
0.000 0.000 13.926
Pm Sc Cd
4 1 1
Direct
0.000 0.000 0.153
0.000 0.000 0.847
0.500 0.500 0.335
0.500 0.500 0.665
0.000 0.000 0.500
0.500 0.500 0.000
```

Values from the calculation:
magnetization: 0.00 μB/f.u.
symmetry: P4/mmm
final energy: -4.450 eV per atom
DOS(E_F): 1.23 states/eV/atom
distance to the lowest polymorph of the same formula: 0 meV/atom

Record 3
Material: Na3CrCu
Method: DFT, PBE
State: optimized geometry

```
Na3CrCu
1.0
5.370 0.000 0.000
0.000 5.370 0.000
0.000 0.000 5.370
Na Cr Cu
3 1 1
Direct
0.000 0.000 0.500
0.000 0.500 0.000
0.500 0.000 0.000
0.500 0.500 0.500
0.000 0.000 0.000
```

Values from the calculation:
magnetization: 5.10 μB/f.u.
symmetry: Pm-3m
final energy: -2.765 eV per atom
DOS(E_F): 0.51 states/eV/atom
distance to the lowest polymorph of the same formula: 0 meV/atom